Record 1
Ta2CoRe after structural relaxation. Source: Alexandria, functional PBE.

Cell and atoms, written as CIF:
```
data_Ta2CoRe
_cell_length_a 3.263
_cell_length_b 4.258
_cell_length_c 4.483
_cell_angle_alpha 90.00
_cell_angle_beta 90.00
_cell_angle_gamma 90.00
_space_group_name_H-M_alt 'P 1'
_space_group_IT_number 1
loop_
_space_group_symop_operation_xyz
'x,y,z'
loop_
_atom_site_label
_atom_site_type_symbol
_atom_site_fract_x
_atom_site_fract_y
_atom_site_fract_z
Ta1 Ta 0.000 0.000 0.000
Ta2 Ta 0.500 0.000 0.500
Co1 Co 0.000 0.500 0.500
Re1 Re 0.500 0.500 0.000
```

Calculated values
- SG: Pmmm
- DFT formation energy: 0.1 kJ/mol of atoms

=====

Record 2
TaCo2Re after structural relaxation. Source: Alexandria, functional PBE.

Cell and atoms, written as CIF:
```
data_TaCo2Re
_cell_length_a 2.683
_cell_length_b 2.683
_cell_length_c 7.422
_cell_angle_alpha 90.00
_cell_angle_beta 90.00
_cell_angle_gamma 90.00
_space_group_name_H-M_alt 'P 1'
_space_group_IT_number 1
loop_
_space_group_symop_operation_xyz
'x,y,z'
loop_
_atom_site_label
_atom_site_type_symbol
_atom_site_fract_x
_atom_site_fract_y
_atom_site_fract_z
Ta1 Ta 0.000 0.000 0.000
Co1 Co 0.500 0.500 0.263
Co2 Co 0.500 0.500 0.737
Re1 Re 0.000 0.000 0.500
```

Calculated values
- SG: P4/mmm
- Relative energy among the computed polymorphs: 30.1 kJ/mol of formula units
- DFT formation energy: -4.1 kJ/mol of atoms

=====

Record 3
Ta2CoRe after structural relaxation. Source: Alexandria, functional PBE.

Cell and atoms, written as CIF:
```
data_Ta2CoRe
_cell_length_a 2.779
_cell_length_b 2.779
_cell_length_c 8.318
_cell_angle_alpha 90.00
_cell_angle_beta 90.00
_cell_angle_gamma 107.08
_space_group_name_H-M_alt 'P 1'
_space_group_IT_number 1
loop_
_space_group_symop_operation_xyz
'x,y,z'
loop_
_atom_site_label
_atom_site_type_symbol
_atom_site_fract_x
_atom_site_fract_y
_atom_site_fract_z
Ta1 Ta 0.000 0.000 0.232
Ta2 Ta 0.000 0.000 0.768
Co1 Co 0.500 0.500 0.000
Re1 Re 0.500 0.500 0.500
```

Calculated values
- SG: Cmmm
- DFT formation energy: -9.7 kJ/mol of atoms

=====

Record 4
TaCo2Re after structural relaxation. Source: Alexandria, functional PBE.

Cell and atoms, written as CIF:
```
data_TaCo2Re
_cell_length_a 4.566
_cell_length_b 4.566
_cell_length_c 4.631
_cell_angle_alpha 100.05
_cell_angle_beta 100.05
_cell_angle_gamma 34.58
_space_group_name_H-M_alt 'P 1'
_space_group_IT_number 1
loop_
_space_group_symop_operation_xyz
'x,y,z'
loop_
_atom_site_label
_atom_site_type_symbol
_atom_site_fract_x
_atom_site_fract_y
_atom_site_fract_z
Ta1 Ta 0.000 0.000 0.000
Co1 Co 0.249 0.249 0.788
Co2 Co 0.508 0.508 0.513
Re1 Re 0.764 0.764 0.329
```

Calculated values
- SG: Cm
- Relative energy among the computed polymorphs: 35.9 kJ/mol of formula units
- DFT formation energy: -2.6 kJ/mol of atoms

=====

Which value of DFT formation energy does entry 1 give?
0.1 kJ/mol of atoms

=====

The lowest DFT formation energy belongs to which entry?
number 3

=====

Which value of DFT formation energy does entry 4 give?
-2.6 kJ/mol of atoms